[1]
VASP calculation (PBE) on crystalline LaMoSeBr2 at its relaxed geometry.

a = 5.7955 Å, b = 5.7955 Å, c = 5.8000 Å
α = 90.00°, β = 90.00°, γ = 90.00°
Last column: nearest neighbours and their distance in Å.
Space group P4/mmm (No. 123)
Unique sites:
La (0.0000, 0.0000, 0.0000) [1 per cell]  4 Br 2.90, 2 Se 2.90
Mo (0.5000, 0.5000, 0.5000) [1 per cell]  4 Se 4.10, 8 Br 4.10
Se (0.0000, 0.0000, 0.5000) [1 per cell]  2 La 2.90
Br (0.0000, 0.5000, 0.0000) [2 per cell]  2 La 2.90

## Properties
offset from the most stable computed form	189	meV per atom

---

[2]
VASP calculation (PBE) on crystalline CaLaTeBr at its relaxed geometry.

a = 11.0185 Å, b = 4.1639 Å, c = 7.1619 Å
α = 90.00°, β = 129.16°, γ = 90.00°
Last column: nearest neighbours and their distance in Å.
Space group Cm (No. 8)
Unique sites:
Ca (0.0000, 0.0000, 0.0000) [2 per cell]  3 Te 3.16-3.21, 3 Br 3.23-3.24
La (0.4972, 0.0000, 0.4990) [2 per cell]  3 Br 3.16-3.20, 3 Te 3.23-3.25
Te (0.2463, 0.5000, 0.0839) [2 per cell]  3 Ca 3.16-3.21, 3 La 3.23-3.25
Br (0.2484, 0.0000, 0.5840) [2 per cell]  3 La 3.16-3.20, 3 Ca 3.23-3.24

## Properties
offset from the most stable computed form	72	meV per atom

---

[3]
VASP calculation (PBE) on crystalline CdAs3H at its relaxed geometry.

a = 4.4126 Å, b = 4.4126 Å, c = 4.4126 Å
α = 90.00°, β = 90.00°, γ = 90.00°
Last column: nearest neighbours and their distance in Å.
Space group Pm-3m (No. 221)
Unique sites:
Cd (0.0000, 0.0000, 0.0000) [1 per cell]  12 As 3.12
As (0.0000, 0.5000, 0.5000) [3 per cell]  2 H 2.21
H (0.5000, 0.5000, 0.5000) [1 per cell]  6 As 2.21

## Properties
offset from the most stable computed form	0	meV per atom

---

[4]
VASP calculation (PBE) on crystalline Dy5Ru2Rh at its relaxed geometry.

a = 7.3395 Å, b = 7.3395 Å, c = 13.9254 Å
α = 90.00°, β = 90.00°, γ = 90.00°
Last column: nearest neighbours and their distance in Å.
Space group I4/mcm (No. 140)
Unique sites:
Dy (0.0000, 0.0000, 0.0000) [4 per cell]  4 Ru 2.89
Dy (0.1738, 0.3262, 0.1418) [16 per cell]  3 Ru 2.86-2.98, 2 Rh 3.10
Ru (0.1268, 0.3732, 0.5000) [8 per cell]  1 Ru 2.63, 4 Dy 2.86-2.89
Rh (0.0000, 0.0000, 0.2500) [4 per cell]  8 Dy 3.10

## Properties
DFT formation energy	-0.4652	eV per atom